Computed, not measured: TbSm2Br after structural relaxation at the PBE level of DFT.

Summary:
* energy above the most stable polymorph in this dataset: 86.9 meV/atom
* space group: No. 123
* M_tot: 0.00 Bohr magnetons per cell
* crystal system: tetragonal
* E_form (uncorrected): -0.455 eV per atom

Cell lengths 3.570, 3.570, 9.639 Å; angles 90.00, 90.00, 90.00 degrees
Atoms (fractional coordinates):
Sm 0.000 0.000 0.763
Sm 0.000 0.000 0.237
Tb 0.500 0.500 0.500
Br 0.500 0.500 0.000


Computed, not measured: TbSm2Br after structural relaxation at the PBE level of DFT.

Summary:
* energy above the most stable polymorph in this dataset: 5.1 meV/atom
* space group: No. 160
* M_tot: 0.74 Bohr magnetons per cell
* crystal system: trigonal
* E_form (uncorrected): -0.537 eV per atom

Cell lengths 3.712, 3.712, 10.619 Å; angles 79.93, 79.93, 60.00 degrees
Each line ends with the local moment (μB).
Atoms (fractional coordinates):
Br 0.667 0.667 0.000  0.00
Sm 0.076 0.076 0.772  0.12
Sm 0.258 0.258 0.227  0.07
Tb 0.500 0.500 0.501  0.23


Computed, not measured: TbSm2Br6 after structural relaxation at the PBE level of DFT.

Summary:
* space group: No. 146
* M_tot: 0.94 Bohr magnetons per cell
* crystal system: trigonal
* E_form (uncorrected): -1.443 eV per atom

Cell lengths 7.528, 7.528, 7.344 Å; angles 59.17, 59.17, 60.00 degrees
Each line ends with the local moment (μB).
Atoms (fractional coordinates):
Br 0.393 0.161 0.715  0.00
Br 0.161 0.732 0.715  0.00
Br 0.610 0.945 0.271  0.00
Br 0.732 0.393 0.715  0.00
Br 0.174 0.610 0.271  0.00
Br 0.945 0.174 0.271  0.00
Tb 0.319 0.319 0.043  0.31
Sm 0.557 0.557 0.330  0.15
Sm 0.776 0.776 0.671  0.07


Computed, not measured: TbSmBr5 after structural relaxation at the PBE level of DFT.

Summary:
* space group: No. 11
* M_tot: 2.01 Bohr magnetons per cell
* crystal system: monoclinic
* E_form (uncorrected): -1.789 eV per atom

Cell lengths 4.022, 8.575, 13.691 Å; angles 95.12, 90.00, 90.00 degrees
Each line ends with the local moment (μB).
Atoms (fractional coordinates):
Br 0.250 0.070 0.308  0.00
Br 0.750 0.132 0.929  0.00
Br 0.250 0.677 0.518  0.00
Br 0.750 0.323 0.482  0.00
Br 0.750 0.628 0.291  0.01
Br 0.750 0.651 0.872  0.00
Br 0.750 0.930 0.692  0.00
Br 0.250 0.349 0.128  0.00
Br 0.250 0.868 0.071  0.00
Br 0.250 0.372 0.709  0.01
Sm 0.250 0.896 0.849  0.26
Sm 0.750 0.104 0.151  0.26
Tb 0.250 0.416 0.344  0.27
Tb 0.750 0.584 0.656  0.27


Computed, not measured: TbSmBr4 after structural relaxation at the PBE level of DFT.

Summary:
* space group: No. 2
* M_tot: 0.38 Bohr magnetons per cell
* crystal system: triclinic
* E_form (uncorrected): -1.558 eV per atom

Cell lengths 7.148, 7.074, 9.569 Å; angles 104.99, 102.67, 111.50 degrees
Each line ends with the local moment (μB).
Atoms (fractional coordinates):
Br 0.082 0.816 0.129  0.00
Br 0.918 0.184 0.871  0.00
Br 0.680 0.932 0.356  0.00
Br 0.413 0.693 0.849  0.01
Br 0.587 0.307 0.151  0.01
Br 0.175 0.403 0.335  0.00
Br 0.825 0.597 0.665  0.00
Br 0.320 0.068 0.644  0.00
Sm 0.665 0.450 0.891  0.08
Sm 0.335 0.550 0.109  0.08
Tb 0.797 0.034 0.117  0.01
Tb 0.203 0.966 0.883  0.01


Computed, not measured: TbSmTeBr after structural relaxation at the PBE level of DFT.

Summary:
* space group: No. 216
* M_tot: 0.00 Bohr magnetons per cell
* crystal system: cubic
* E_form (uncorrected): -1.126 eV per atom

Cell lengths 5.278, 5.278, 5.278 Å; angles 60.00, 60.00, 60.00 degrees
Atoms (fractional coordinates):
Sm 0.500 0.500 0.500
Te 0.750 0.750 0.750
Tb 0.000 0.000 0.000
Br 0.250 0.250 0.250


What did the fourth record say?
Computed, not measured: TbSmBr5 after structural relaxation at the PBE level of DFT.

Summary:
* space group: No. 11
* M_tot: 2.01 Bohr magnetons per cell
* crystal system: monoclinic
* E_form (uncorrected): -1.789 eV per atom

Cell lengths 4.022, 8.575, 13.691 Å; angles 95.12, 90.00, 90.00 degrees
Each line ends with the local moment (μB).
Atoms (fractional coordinates):
Br 0.250 0.070 0.308  0.00
Br 0.750 0.132 0.929  0.00
Br 0.250 0.677 0.518  0.00
Br 0.750 0.323 0.482  0.00
Br 0.750 0.628 0.291  0.01
Br 0.750 0.651 0.872  0.00
Br 0.750 0.930 0.692  0.00
Br 0.250 0.349 0.128  0.00
Br 0.250 0.868 0.071  0.00
Br 0.250 0.372 0.709  0.01
Sm 0.250 0.896 0.849  0.26
Sm 0.750 0.104 0.151  0.26
Tb 0.250 0.416 0.344  0.27
Tb 0.750 0.584 0.656  0.27


Which value of E_form (uncorrected) does entry 4 give? -1.789 eV per atom


Look up the E_form (uncorrected) of the third one. -1.443 eV per atom